# 1
## BaHoCd2Pb2 (PBE)

Data for BaHoCd2Pb2 after structural relaxation.

* DFT formation energy: -0.381 eV per atom

a = 5.0835 Å, b = 5.0835 Å, c = 8.3323 Å
α = 90.00°, β = 90.00°, γ = 120.00°
Fractional positions:
Pb 0.6667 0.3333 0.7440
Pb 0.3333 0.6667 0.2560
Cd 0.6667 0.3333 0.3431
Cd 0.3333 0.6667 0.6569
Ho 0.0000 0.0000 0.5000
Ba 0.0000 0.0000 0.0000

=====

# 2
## Cs2NaBe (PBE)

Data for Cs2NaBe after structural relaxation.

* DFT formation energy: 0.615 eV per atom

a = 13.6815 Å, b = 13.6815 Å, c = 10.0943 Å
α = 47.34°, β = 47.34°, γ = 90.00°
Fractional positions:
Cs 0.3750 0.5434 0.7500
Cs 0.8750 0.7066 0.7500
Cs 0.2934 0.6250 0.2500
Cs 0.4566 0.1250 0.2500
Be 0.5000 0.5000 0.0000
Be 0.2500 0.7500 0.5000
Na 0.7500 0.2500 0.5000
Na 0.0000 0.0000 0.0000

=====

# 3
## MnZnMo2 (PBE)

Data for MnZnMo2 after structural relaxation.

* DFT formation energy: 0.139 eV per atom

a = 4.1907 Å, b = 2.6461 Å, c = 5.4091 Å
α = 73.64°, β = 90.00°, γ = 90.00°
Fractional positions:
Mo 0.0000 0.5134 0.5079
Mo 0.0000 0.9866 0.9921
Mn 0.5000 0.7500 0.7500
Zn 0.5000 0.2500 0.2500

=====

# 4
## La5CoNi (PBE)

Data for La5CoNi after structural relaxation.

* DFT formation energy: -0.049 eV per atom

a = 7.2863 Å, b = 7.2863 Å, c = 10.3747 Å
α = 95.86°, β = 112.23°, γ = 108.42°
Fractional positions:
La 0.8238 0.1912 0.1498
La 0.5414 0.6740 0.3502
La 0.4586 0.3260 0.6498
La 0.3391 0.0891 0.2500
La 0.2251 0.3444 0.9610
La 0.7749 0.6556 0.0390
La 0.1762 0.8088 0.8502
La 0.1167 0.7359 0.4610
La 0.6609 0.9109 0.7500
La 0.8833 0.2641 0.5390
Ni 0.6810 0.4310 0.2500
Ni 0.3190 0.5690 0.7500
Co 0.0000 0.0000 0.0000
Co 0.5000 0.0000 0.5000